Record 1
First-principles (PBE) data for an optimized crystal structure of RePBr2, as listed in Alexandria.

POSCAR file:
```
RePBr2
1.0
6.6439 0.0000 0.0000
0.0000 6.6439 0.0000
0.0000 0.0000 6.6439
Re P Br
4 4 8
Cartesian
0.0000 0.0000 0.0000
0.0000 3.3219 3.3219
3.3219 0.0000 3.3219
3.3219 3.3219 0.0000
1.6610 1.6610 4.9829
1.6610 4.9829 1.6610
4.9829 1.6610 1.6610
4.9829 4.9829 4.9829
0.0000 0.0000 3.3219
0.0000 3.3219 0.0000
1.6610 1.6610 1.6610
1.6610 4.9829 4.9829
3.3219 0.0000 0.0000
3.3219 3.3219 3.3219
4.9829 1.6610 4.9829
4.9829 4.9829 1.6610
```

Calculated values
**Mass density**: 8.54 g/cm3
**Formation energy without anion corrections**: 1.263 eV/atom
**Total DFT energy (no corrections)**: -4.038 eV/atom


Record 2
First-principles (PBE) data for an optimized crystal structure of AcEr2CdAu4, as listed in Alexandria.

POSCAR file:
```
AcEr2CdAu4
1.0
2.4915 1.4385 9.1385
-2.4915 1.4385 9.1385
0.0000 -2.8770 9.1385
Ac Er Cd Au
1 2 1 4
Cartesian
0.0000 0.0000 0.0000
0.0000 0.0000 6.3201
0.0000 0.0000 21.0954
0.0000 0.0000 13.7077
0.0000 0.0000 3.2710
0.0000 0.0000 10.8244
0.0000 0.0000 16.5910
0.0000 0.0000 24.1445
```

Calculated values
**Energy of formation from the pure elements**: -0.724 eV/atom
**Mass density**: 12.35 g/cm3
**Total DFT energy (no corrections)**: -4.131 eV/atom


Record 3
First-principles (PBE) data for an optimized crystal structure of BeIr2C, as listed in Alexandria.

POSCAR file:
```
BeIr2C
1.0
4.9310 0.0000 0.0000
0.0000 4.9310 0.0000
0.0000 0.0000 9.0448
Be Ir C
4 8 4
Cartesian
0.0000 0.0000 0.0000
0.0000 2.4655 2.2612
2.4655 0.0000 6.7836
2.4655 2.4655 4.5224
1.0268 1.2327 5.6530
1.2327 3.4923 7.9142
1.2327 3.9042 3.3918
1.4387 1.2327 1.1306
3.4923 3.6982 1.1306
3.6982 1.0268 3.3918
3.6982 1.4387 7.9142
3.9042 3.6982 5.6530
0.0000 0.0000 4.5224
0.0000 2.4655 6.7836
2.4655 0.0000 2.2612
2.4655 2.4655 0.0000
```

Calculated values
**Energy of formation from the pure elements**: 0.495 eV/atom
**Mass density**: 12.25 g/cm3
**Total DFT energy (no corrections)**: -7.173 eV/atom


Record 4
First-principles (PBE) data for an optimized crystal structure of Pm2PrTm7, as listed in Alexandria.

POSCAR file:
```
Pm2PrTm7
1.0
4.2839 -8.6502 0.0000
4.2839 8.6502 0.0000
0.0000 0.0000 5.1620
Pm Pr Tm
2 1 7
Cartesian
4.2839 5.1695 0.0000
4.2839 -5.1695 0.0000
4.2839 0.0000 2.5810
0.0000 0.0000 0.0000
2.7467 1.8862 0.0000
4.2839 3.4202 2.5810
2.7467 -1.8862 0.0000
5.8212 1.8862 0.0000
4.2839 -3.4202 2.5810
5.8212 -1.8862 0.0000
```

Calculated values
**Energy of formation from the pure elements**: 0.700 eV/atom
**Mass density**: 7.00 g/cm3
**Total DFT energy (no corrections)**: -3.858 eV/atom


Record 5
First-principles (PBE) data for an optimized crystal structure of Tl5Hg2Pd2, as listed in Alexandria.

POSCAR file:
```
Tl5Hg2Pd2
1.0
5.9232 -2.6718 0.0000
5.9232 2.6718 0.0000
-0.4475 0.0000 7.6966
Tl Hg Pd
5 2 2
Cartesian
0.0000 0.0000 0.0000
1.3850 0.0000 3.6076
3.3399 0.0000 6.2003
8.0589 0.0000 1.4963
10.0139 0.0000 4.0890
5.0351 0.0000 2.2924
6.3637 0.0000 5.4043
2.5730 0.0000 0.9970
8.8259 0.0000 6.6997
```

Calculated values
**Energy of formation from the pure elements**: -0.037 eV/atom
**Mass density**: 11.15 g/cm3
**Total DFT energy (no corrections)**: -2.573 eV/atom


Record 6
First-principles (PBE) data for an optimized crystal structure of Rb2Na5Tl2In, as listed in Alexandria.

POSCAR file:
```
Rb2Na5Tl2In
1.0
13.0107 0.0000 0.0000
0.0000 13.0107 0.0000
0.0000 0.0000 4.5095
Rb Na Tl In
4 10 4 2
Cartesian
2.2769 4.2284 0.0000
4.2284 10.7337 0.0000
8.7823 2.2769 0.0000
10.7337 8.7823 0.0000
0.0000 6.5053 2.2548
0.7690 10.5314 2.2548
2.4792 0.7690 2.2548
4.0261 7.2743 2.2548
5.7364 4.0261 2.2548
6.5053 0.0000 2.2548
7.2743 8.9846 2.2548
8.9846 5.7364 2.2548
10.5314 12.2417 2.2548
12.2417 2.4792 2.2548
1.6276 8.1330 0.0000
4.8777 1.6276 0.0000
8.1330 11.3830 0.0000
11.3830 4.8777 0.0000
0.0000 0.0000 0.0000
6.5053 6.5053 0.0000
```

Calculated values
**Energy of formation from the pure elements**: -0.032 eV/atom
**Mass density**: 3.52 g/cm3
**Total DFT energy (no corrections)**: -1.633 eV/atom